Record 1
PBE-GGA Rb2UCl7, relaxed; symmetry = C2/c
1.0
-7.247 -1.333 -4.791
-0.303 -8.227 -5.315
-7.266 -5.977 4.592
Cl U Rb
14 2 4
Cartesian
-5.619 -2.405 -4.423 Cl
-10.530 -9.940 -2.404 Cl
-8.371 -10.349 -6.596 Cl
-4.432 -8.592 -1.499 Cl
-5.112 -8.229 -4.867 Cl
-9.703 -7.308 -0.647 Cl
-6.446 -8.230 1.931 Cl
-9.197 -13.132 -1.090 Cl
-6.445 -5.187 1.083 Cl
-4.286 -5.596 -3.109 Cl
-8.369 -7.307 -7.445 Cl
-2.274 -2.016 0.913 Cl
-12.542 -13.521 -6.427 Cl
-10.383 -6.945 -4.015 Cl
-11.877 -7.708 -2.084 U
-2.939 -7.829 -3.430 U
-7.127 -5.555 -4.891 Rb
-9.928 -12.476 -4.602 Rb
-7.688 -9.982 -0.623 Rb
-4.887 -3.061 -0.911 Rb

=====

Record 2
PBE-GGA MgTiTc2Mo, relaxed; ΔH_f (0 K) = 1496 meV per atom; symmetry = P4/mmm
1.0
4.436 0.000 0.000
0.000 4.720 0.000
0.000 0.000 4.436
Ti Tc Mo Mg
1 2 1 1
Cartesian
0.000 0.000 0.000 Ti
0.000 0.000 2.218 Tc
2.218 0.000 0.000 Tc
2.218 2.360 2.218 Mo
0.000 2.360 0.000 Mg

=====

Record 3
PBE-GGA Ti2Mn5Be2Si, relaxed; symmetry = P4/mbm
1.0
3.118 0.000 0.000
0.000 8.699 0.000
0.000 0.000 8.699
Be Mn Ti Si
4 10 4 2
Cartesian
0.000 5.421 7.627 Be
0.000 1.071 5.421 Be
0.000 3.278 1.071 Be
0.000 7.627 3.278 Be
1.559 6.903 8.110 Mn
1.559 1.796 0.589 Mn
1.559 4.938 6.145 Mn
1.559 0.000 4.349 Mn
1.559 2.554 4.938 Mn
1.559 0.589 6.903 Mn
1.559 8.110 1.796 Mn
1.559 6.145 3.761 Mn
1.559 4.349 0.000 Mn
1.559 3.761 2.554 Mn
0.000 5.838 1.489 Ti
0.000 1.489 2.861 Ti
0.000 2.861 7.210 Ti
0.000 7.210 5.838 Ti
0.000 0.000 0.000 Si
0.000 4.349 4.349 Si

=====

| no. | M_tot (μB per cell) | electronic total energy (eV/atom) |
| --- | --- | --- |
| 1 | 2.00 | -4.37 |
| 2 | 0.00 | -6.71 |
| 3 | 15.63 | -7.65 |